No. 1
LaMn2TeSe, optimized geometry, DFT GGA-PBEsol; crystal system = tetragonal; calculated volume = 128.5 Å³ per cell; total DFT energy (no corrections) = -6.0613 eV/atom; formation energy without anion corrections = 0.39 eV/atom
1.0
4.7290 0.0000 0.0000
0.0000 4.7290 0.0000
0.0000 0.0000 5.7450
La Mn Se Te
1 2 1 1
Direct
0.5000 0.5000 0.5000 La
0.0000 0.5000 0.0000 Mn
0.5000 0.0000 0.0000 Mn
0.0000 0.0000 0.5000 Se
0.0000 0.0000 0.0000 Te

No. 2
LiLaOs, optimized geometry, DFT GGA-PBEsol; crystal system = trigonal; energy above the lowest structure with this stoichiometry = 289 meV per atom; calculated volume = 62.0 Å³ per cell; total DFT energy (no corrections) = -5.8760 eV/atom; ΔE_f = 0.63 eV/atom
1.0
-0.5077 1.5996 2.6218
1.9737 -2.4072 0.0029
5.5582 4.5551 -1.7030
Os Li La
1 1 1
Direct
0.6667 0.3333 0.3449 Os
0.3333 0.6667 0.6061 Li
0.0000 0.0000 0.0489 La

No. 3
YZnIrOs2, optimized geometry, DFT GGA-PBEsol; crystal system = tetragonal; calculated volume = 102.8 Å³ per cell; total DFT energy (no corrections) = -7.5893 eV/atom; ΔE_f = 0.94 eV/atom
1.0
-2.0685 2.7359 3.0413
2.3295 -2.1499 3.5184
3.5263 3.1332 -0.4202
Ir Os Zn Y
1 2 1 1
Direct
0.0000 0.0000 0.0000 Ir
0.0000 0.0000 0.5000 Os
0.0000 0.5000 0.0000 Os
0.5000 0.0000 0.0000 Zn
0.5000 0.5000 0.5000 Y